# Zr2InAu (meta-GGA SCAN, PBEsol geometry)
data_Zr2InAu
_space_group_name_H-M_alt 'P 1 m 1'
_space_group_IT_number 6
_cell_length_a 3.0856
_cell_length_b 4.9783
_cell_length_c 5.2036
_cell_angle_alpha 90.00
_cell_angle_beta 90.06
_cell_angle_gamma 90.00
loop_
_space_group_symop_operation_xyz
'x,y,z'
'x,-y,z'
loop_
_atom_site_label
_atom_site_type_symbol
_atom_site_fract_x
_atom_site_fract_y
_atom_site_fract_z
Zr1 Zr 0.0000 0.0000 0.0000
Zr2 Zr 0.0024 0.5000 0.6306
In1 In 0.5011 0.0000 0.4991
Au1 Au 0.5019 0.5000 0.1469
# ΔH_f (0 K): -0.51 eV/atom
# theoretical density: 10.27 g/cm3


# ZrInAu3 (meta-GGA SCAN, PBEsol geometry)
data_ZrInAu3
_space_group_name_H-M_alt 'P m -3 m'
_space_group_IT_number 221
_space_group_name_Hall '-P 4 2 3'
_cell_length_a 4.9328
_cell_length_b 4.9328
_cell_length_c 4.9328
_cell_angle_alpha 90.00
_cell_angle_beta 90.00
_cell_angle_gamma 90.00
loop_
_atom_site_label
_atom_site_type_symbol
_atom_site_fract_x
_atom_site_fract_y
_atom_site_fract_z
Zr1 Zr 0.0000 0.0000 0.0000
In1 In 0.5000 0.5000 0.5000
Au1 Au 0.0000 0.5000 0.5000
# ΔH_f (0 K): 0.55 eV/atom
# theoretical density: 11.03 g/cm3


# Zr2InAu (meta-GGA SCAN, PBEsol geometry)
data_Zr2InAu
_space_group_name_H-M_alt 'C 1 m 1'
_space_group_IT_number 8
_cell_length_a 11.1664
_cell_length_b 3.2641
_cell_length_c 4.9961
_cell_angle_alpha 90.00
_cell_angle_beta 116.42
_cell_angle_gamma 90.00
loop_
_space_group_symop_operation_xyz
'x,y,z'
'x,-y,z'
'x+1/2,y+1/2,z'
'x+1/2,-y+1/2,z'
loop_
_atom_site_label
_atom_site_type_symbol
_atom_site_fract_x
_atom_site_fract_y
_atom_site_fract_z
Zr1 Zr 0.0000 0.0000 0.0000
Zr2 Zr 0.2415 0.0000 0.7445
In1 In 0.2743 0.5000 0.2771
Au1 Au 0.0052 0.5000 0.5045
# ΔH_f (0 K): -0.51 eV/atom
# theoretical density: 10.07 g/cm3


# IrAu2 (meta-GGA SCAN, PBEsol geometry)
data_IrAu2
_space_group_name_H-M_alt 'I 4/m c m'
_space_group_IT_number 140
_space_group_name_Hall '-I 4 2c'
_cell_length_a 6.3613
_cell_length_b 6.3613
_cell_length_c 5.0918
_cell_angle_alpha 90.00
_cell_angle_beta 90.00
_cell_angle_gamma 90.00
loop_
_atom_site_label
_atom_site_type_symbol
_atom_site_fract_x
_atom_site_fract_y
_atom_site_fract_z
Ir1 Ir 0.0000 0.0000 0.2500
Au1 Au 0.1593 0.3407 0.0000
# ΔH_f (0 K): 0.47 eV/atom
# theoretical density: 18.90 g/cm3